# 1
Computed, not measured: a geometry-optimized BeSiGeOs structure at the PBE-GGA level of DFT.

Structure (POSCAR):
```
BeSiGeOs
1.0
0.000 2.976 2.976
2.976 0.000 2.976
2.976 2.976 0.000
Be Si Ge Os
1 1 1 1
Cartesian
0.000 0.000 0.000
1.488 1.488 1.488
4.464 4.464 4.464
2.976 2.976 2.976
```

## Properties
polymorph energy (0 for the lowest one) = 0.00 eV per formula unit

---

# 2
Computed, not measured: a geometry-optimized Ag2Te2Pb structure at the PBE-GGA level of DFT.

Structure (POSCAR):
```
Ag2Te2Pb
1.0
11.728 0.000 0.000
0.000 8.406 0.000
0.000 0.000 6.145
Ag Te Pb
8 8 4
Cartesian
1.295 0.741 1.536
1.295 3.462 4.609
3.344 2.101 0.000
3.344 2.101 3.073
8.384 6.304 0.000
8.384 6.304 3.073
10.432 4.944 1.536
10.432 7.665 4.609
1.242 0.487 4.609
1.242 3.715 1.536
4.566 0.010 1.536
4.566 4.193 4.609
7.161 4.213 1.536
7.161 8.396 4.609
10.486 4.690 4.609
10.486 7.918 1.536
4.019 5.068 1.536
4.019 7.541 4.609
7.708 0.865 1.536
7.708 3.338 4.609
```

## Properties
polymorph energy (0 for the lowest one) = 0.57 eV per formula unit

---

# 3
Computed, not measured: a geometry-optimized Ni9Se8 structure at the PBE-GGA level of DFT.

Structure (POSCAR):
```
Ni9Se8
1.0
0.000 5.245 5.245
5.245 0.000 5.245
5.245 5.245 0.000
Ni Se
9 8
Cartesian
0.000 0.000 0.000
6.540 3.949 3.949
3.949 3.949 3.949
6.540 6.540 3.949
6.540 3.949 6.540
3.949 6.540 3.949
3.949 3.949 6.540
6.540 6.540 6.540
3.949 6.540 6.540
5.245 5.245 2.488
5.245 2.488 5.245
8.001 5.245 5.245
2.622 2.622 2.622
7.867 7.867 7.867
2.488 5.245 5.245
5.245 8.001 5.245
5.245 5.245 8.001
```

## Properties
uncorrected energy = -4.8733 eV per atom

---

# 4
Computed, not measured: a geometry-optimized Ho2Ge4PdO12 structure at the PBE-GGA level of DFT.

Structure (POSCAR):
```
Ho2Ge4PdO12
1.0
4.921 0.000 0.000
1.581 6.996 0.000
0.273 2.946 7.261
Ho Ge Pd O
2 4 1 12
Cartesian
0.779 3.204 3.274
5.996 6.738 3.987
3.667 8.592 5.768
3.337 5.330 1.614
3.438 4.612 5.646
3.107 1.350 1.493
0.790 3.498 0.000
2.681 8.257 4.379
2.068 5.103 2.790
1.679 2.350 1.425
2.642 5.892 0.078
2.390 6.013 5.777
2.439 3.244 5.077
4.336 6.698 2.183
4.384 3.929 1.484
4.133 4.050 7.182
5.096 7.592 5.835
4.707 4.839 4.471
4.094 1.685 2.882
```

## Properties
uncorrected energy = -6.8979 eV per atom

---

- Number 1 is which compound?
  BeSiGeOs

---

Repeat the first record exactly.
Computed, not measured: a geometry-optimized BeSiGeOs structure at the PBE-GGA level of DFT.

Structure (POSCAR):
```
BeSiGeOs
1.0
0.000 2.976 2.976
2.976 0.000 2.976
2.976 2.976 0.000
Be Si Ge Os
1 1 1 1
Cartesian
0.000 0.000 0.000
1.488 1.488 1.488
4.464 4.464 4.464
2.976 2.976 2.976
```

## Properties
polymorph energy (0 for the lowest one) = 0.00 eV per formula unit

---

- What is the formula in the first record?
  BeSiGeOs